Record 1
# K2LiMgI5 (PBE-GGA, optimized geometry)
data_K2LiMgI5
_chemical_formula_sum 'K8 Li4 Mg4 I20'
_space_group_name_H-M_alt 'C m c 21'
_space_group_IT_number 36
_cell_length_a 4.506
_cell_length_b 20.608
_cell_length_c 15.133
_cell_angle_alpha 90.00
_cell_angle_beta 90.00
_cell_angle_gamma 90.00
loop_
_space_group_symop_operation_xyz
'x,y,z'
'-x,-y,z+1/2'
'-x,y,z'
'x,-y,z+1/2'
'x+1/2,y+1/2,z'
'-x+1/2,-y+1/2,z+1/2'
'-x+1/2,y+1/2,z'
'x+1/2,-y+1/2,z+1/2'
loop_
_atom_site_label
_atom_site_type_symbol
_atom_site_fract_x
_atom_site_fract_y
_atom_site_fract_z
K1 K 0.000 0.102 0.000
K2 K 0.000 0.129 0.638
Li1 Li 0.000 0.430 0.769
Mg1 Mg 0.000 0.213 0.354
I1 I 0.000 0.071 0.375
I2 I 0.000 0.277 0.989
I3 I 0.000 0.299 0.721
I4 I 0.000 0.352 0.329
I5 I 0.000 0.497 0.615
# Uncorrected energy: -2.75 eV per atom
# E_form (uncorrected): -1257 meV per atom

***

Record 2
# CuReNi2 (PBE-GGA, optimized geometry)
data_CuReNi2
_chemical_formula_sum 'Cu2 Re2 Ni4'
_space_group_name_H-M_alt 'I m m 2'
_space_group_IT_number 44
_cell_length_a 2.642
_cell_length_b 4.312
_cell_length_c 8.634
_cell_angle_alpha 90.00
_cell_angle_beta 90.00
_cell_angle_gamma 90.00
loop_
_space_group_symop_operation_xyz
'x,y,z'
'-x,-y,z'
'-x,y,z'
'x,-y,z'
'x+1/2,y+1/2,z+1/2'
'-x+1/2,-y+1/2,z+1/2'
'-x+1/2,y+1/2,z+1/2'
'x+1/2,-y+1/2,z+1/2'
loop_
_atom_site_label
_atom_site_type_symbol
_atom_site_fract_x
_atom_site_fract_y
_atom_site_fract_z
Cu1 Cu 0.000 0.000 0.000
Re1 Re 0.000 0.500 0.773
Ni1 Ni 0.000 0.000 0.516
Ni2 Ni 0.000 0.500 0.252
# E_form: 205 meV per atom
# Uncorrected energy: -6.82 eV per atom
# Energy relative to the lowest polymorph listed for this composition: 0.217 eV/atom

***

Record 3
# Pu2Sc2Ru3 (PBE-GGA, optimized geometry)
data_Pu2Sc2Ru3
_chemical_formula_sum 'Pu6 Sc6 Ru9'
_space_group_name_H-M_alt 'R -3 m'
_space_group_IT_number 166
_space_group_name_Hall '-R 3 2"'
_cell_length_a 4.4526
_cell_length_b 4.4526
_cell_length_c 23.6746
_cell_angle_alpha 90.00
_cell_angle_beta 90.00
_cell_angle_gamma 120.00
loop_
_atom_site_label
_atom_site_type_symbol
_atom_site_fract_x
_atom_site_fract_y
_atom_site_fract_z
Pu1 Pu 0.0000 0.0000 0.1235
Sc1 Sc 0.0000 0.0000 0.3713
Ru1 Ru 0.0000 0.0000 0.2469
Ru2 Ru 0.0000 0.0000 0.5000
# E_form: 158 meV per atom
# Uncorrected energy: -9.72 eV per atom
# Energy relative to the lowest polymorph listed for this composition: 0.261 eV/atom

***

Record 4
# DyYHo (PBE-GGA, optimized geometry)
data_DyYHo
_chemical_formula_sum 'Dy2 Y2 Ho2'
_space_group_name_H-M_alt 'P -1'
_space_group_IT_number 2
_cell_length_a 3.513
_cell_length_b 6.065
_cell_length_c 9.546
_cell_angle_alpha 89.87
_cell_angle_beta 89.93
_cell_angle_gamma 73.25
loop_
_space_group_symop_operation_xyz
'x,y,z'
'-x,-y,-z'
loop_
_atom_site_label
_atom_site_type_symbol
_atom_site_fract_x
_atom_site_fract_y
_atom_site_fract_z
Dy1 Dy 0.133 0.233 0.073
Y1 Y 0.409 0.682 0.250
Ho1 Ho 0.134 0.233 0.429
# E_form: 122 meV per atom
# Uncorrected energy: -5.09 eV per atom
# Energy relative to the lowest polymorph listed for this composition: 0.099 eV/atom

***

Record 5
# La2ThN2 (PBE-GGA, optimized geometry)
data_La2ThN2
_chemical_formula_sum 'La6 Th3 N6'
_space_group_name_H-M_alt 'R -3 m'
_space_group_IT_number 166
_space_group_name_Hall '-R 3 2"'
_cell_length_a 3.6731
_cell_length_b 3.6731
_cell_length_c 29.0380
_cell_angle_alpha 90.00
_cell_angle_beta 90.00
_cell_angle_gamma 120.00
loop_
_atom_site_label
_atom_site_type_symbol
_atom_site_fract_x
_atom_site_fract_y
_atom_site_fract_z
La1 La 0.0000 0.0000 0.2325
Th1 Th 0.0000 0.0000 0.0000
N1 N 0.0000 0.0000 0.3826
# Uncorrected energy: -7.94 eV per atom
# E_form (uncorrected): -1150 meV per atom

***

Record 6
# KBa2NaGa (PBE-GGA, optimized geometry)
data_KBa2NaGa
_chemical_formula_sum 'K1 Ba2 Na1 Ga1'
_space_group_name_H-M_alt 'P 4/m m m'
_space_group_IT_number 123
_space_group_name_Hall '-P 4 2'
_cell_length_a 6.592
_cell_length_b 6.592
_cell_length_c 6.169
_cell_angle_alpha 90.00
_cell_angle_beta 90.00
_cell_angle_gamma 90.00
loop_
_atom_site_label
_atom_site_type_symbol
_atom_site_fract_x
_atom_site_fract_y
_atom_site_fract_z
K1 K 0.000 0.000 0.000
Ba1 Ba 0.000 0.500 0.500
Na1 Na 0.500 0.500 0.000
Ga1 Ga 0.500 0.500 0.500
# E_form: -4 meV per atom
# Uncorrected energy: -1.86 eV per atom

***

Record 7
# Dy2YPuP4 (PBE-GGA, optimized geometry)
data_Dy2YPuP4
_chemical_formula_sum 'Dy2 Y1 Pu1 P4'
_space_group_name_H-M_alt 'P 1 2/m 1'
_space_group_IT_number 10
_cell_length_a 6.924
_cell_length_b 4.011
_cell_length_c 6.925
_cell_angle_alpha 90.00
_cell_angle_beta 109.50
_cell_angle_gamma 90.00
loop_
_space_group_symop_operation_xyz
'x,y,z'
'-x,-y,-z'
'-x,y,-z'
'x,-y,z'
loop_
_atom_site_label
_atom_site_type_symbol
_atom_site_fract_x
_atom_site_fract_y
_atom_site_fract_z
Dy1 Dy 0.000 0.000 0.000
Dy2 Dy 0.500 0.500 0.000
Y1 Y 0.000 0.500 0.500
Pu1 Pu 0.500 0.000 0.500
P1 P 0.252 0.000 0.749
P2 P 0.254 0.500 0.253
# E_form: -1493 meV per atom
# Uncorrected energy: -7.95 eV per atom

***

Record 8
# NaCd2As2 (PBE-GGA, optimized geometry)
data_NaCd2As2
_chemical_formula_sum 'Na2 Cd4 As4'
_space_group_name_H-M_alt 'P 4/m b m'
_space_group_IT_number 127
_space_group_name_Hall '-P 4 2ab'
_cell_length_a 8.191
_cell_length_b 8.191
_cell_length_c 3.423
_cell_angle_alpha 90.00
_cell_angle_beta 90.00
_cell_angle_gamma 90.00
loop_
_atom_site_label
_atom_site_type_symbol
_atom_site_fract_x
_atom_site_fract_y
_atom_site_fract_z
Na1 Na 0.000 0.000 0.000
Cd1 Cd 0.135 0.365 0.500
As1 As 0.166 0.666 0.000
# E_form: -43 meV per atom
# Uncorrected energy: -2.53 eV per atom
# Energy relative to the lowest polymorph listed for this composition: 0.126 eV/atom

***

no.,spin magnetization (μB/f.u.),calculated volume (Å³ per atom),ρ (Mg/m³)
1,0.000,39.04,3.516
2,0.000,12.30,12.393
3,0.016,19.36,10.798
4,0.000,32.46,7.099
5,0.514,22.62,7.897
6,0.000,53.62,2.518
7,4.880,22.66,7.161
8,0.000,22.97,5.750